(1)
Computed, not measured: crystalline KNa2Dy at its relaxed geometry at the GGA-PBE level of DFT.

Properties
Energy relative to the elements, meV/atom: 327
Crystal system: trigonal

Geometry as CIF:
```
data_KNa2Dy
_chemical_formula_sum 'K3 Na6 Dy3'
_cell_length_a 3.6191
_cell_length_b 3.6191
_cell_length_c 42.7421
_cell_angle_alpha 90.00
_cell_angle_beta 90.00
_cell_angle_gamma 120.00
_space_group_name_H-M_alt 'R -3 m'
_space_group_IT_number 166
_space_group_name_Hall '-R 3 2"'
loop_
_atom_site_label
_atom_site_type_symbol
_atom_site_fract_x
_atom_site_fract_y
_atom_site_fract_z
K1 K 0.0000 0.0000 0.0000
Na1 Na 0.0000 0.0000 0.4197
Dy1 Dy 0.0000 0.0000 0.5000
```

(2)
Computed, not measured: crystalline LiFe2Mo at its relaxed geometry at the GGA-PBE level of DFT.

Properties
Energy relative to the elements, meV/atom: 243
ΔE to the lowest computed polymorph, eV per formula unit: 0.12
Crystal system: orthorhombic

Geometry as CIF:
```
data_LiFe2Mo
_chemical_formula_sum 'Li2 Fe4 Mo2'
_cell_length_a 3.0282
_cell_length_b 4.1907
_cell_length_c 8.5795
_cell_angle_alpha 90.00
_cell_angle_beta 90.00
_cell_angle_gamma 90.00
_space_group_name_H-M_alt 'C m m m'
_space_group_IT_number 65
_space_group_name_Hall '-C 2 2'
loop_
_atom_site_label
_atom_site_type_symbol
_atom_site_fract_x
_atom_site_fract_y
_atom_site_fract_z
Li1 Li 0.0000 0.0000 0.0000
Fe1 Fe 0.0000 0.5000 0.2543
Mo1 Mo 0.0000 0.0000 0.5000
```

(3)
Computed, not measured: crystalline Er4GaCu2 at its relaxed geometry at the GGA-PBE level of DFT.

Properties
Energy relative to the elements, meV/atom: -239
ΔE to the lowest computed polymorph, eV per formula unit: 0.14
Crystal system: trigonal

Geometry as CIF:
```
data_Er4GaCu2
_chemical_formula_sum 'Er12 Ga3 Cu6'
_cell_length_a 4.8831
_cell_length_b 4.8831
_cell_length_c 23.5241
_cell_angle_alpha 90.00
_cell_angle_beta 90.00
_cell_angle_gamma 120.00
_space_group_name_H-M_alt 'R -3 m'
_space_group_IT_number 166
_space_group_name_Hall '-R 3 2"'
loop_
_atom_site_label
_atom_site_type_symbol
_atom_site_fract_x
_atom_site_fract_y
_atom_site_fract_z
Er1 Er 0.0000 0.0000 0.1192
Er2 Er 0.0000 0.0000 0.3718
Ga1 Ga 0.0000 0.0000 0.5000
Cu1 Cu 0.0000 0.0000 0.2465
```

(4)
Computed, not measured: crystalline CePaPd at its relaxed geometry at the GGA-PBE level of DFT.

Properties
Energy relative to the elements, meV/atom: -241
ΔE to the lowest computed polymorph, eV per formula unit: 0.18
Crystal system: tetragonal

Geometry as CIF:
```
data_CePaPd
_chemical_formula_sum 'Ce2 Pa2 Pd2'
_cell_length_a 3.6761
_cell_length_b 3.6761
_cell_length_c 9.8684
_cell_angle_alpha 90.00
_cell_angle_beta 90.00
_cell_angle_gamma 90.00
_space_group_name_H-M_alt 'I 4 m m'
_space_group_IT_number 107
_space_group_name_Hall 'I 4 -2'
loop_
_atom_site_label
_atom_site_type_symbol
_atom_site_fract_x
_atom_site_fract_y
_atom_site_fract_z
Ce1 Ce 0.0000 0.0000 0.0000
Pa1 Pa 0.0000 0.0000 0.3387
Pd1 Pd 0.0000 0.0000 0.6780
```

- What is the energy relative to the elements in the first record?
  327 meV/atom

- Among the records above, which one has the lowest energy relative to the elements?
  CePaPd